The following is a PBE calculation of a relaxed Nb3TcRu crystal, from Alexandria via LeMat-Bulk.

a = 4.7385 Å, b = 4.7385 Å, c = 4.7385 Å
α = 90.00°, β = 90.00°, γ = 90.00°
Closest atoms and distances in Å follow each position.
Space group Pm-3m (No. 221)
One atom of each set of equivalent atoms:
Nb  0.0000  0.0000  0.5000  2 Ru 2.37
Tc  0.5000  0.5000  0.5000  12 Nb 3.35
Ru  0.0000  0.0000  0.0000  6 Nb 2.37

Results
The energy above the most stable polymorph in this dataset is 0.000 eV/f.u.


The following is a PBE calculation of a relaxed BaZrCr2 crystal, from Alexandria via LeMat-Bulk.

a = 5.3053 Å, b = 5.3053 Å, c = 17.8365 Å
α = 90.00°, β = 90.00°, γ = 90.00°
Closest atoms and distances in Å follow each position.
Space group I4_1/amd (No. 141, origin choice 2)
One atom of each set of equivalent atoms:
Ba  0.0000  0.2500  0.3750  8 Cr 3.71, 4 Zr 3.75
Zr  0.0000  0.2500  0.8750  4 Cr 2.59
Cr  0.0000  0.0000  0.0000  2 Zr 2.59, 2 Cr 2.65

Results
The energy above the most stable polymorph in this dataset is 2.541 eV/f.u.


The following is a PBE calculation of a relaxed Zn2HgAu8 crystal, from Alexandria via LeMat-Bulk.

a = 15.3421 Å, b = 4.0153 Å, c = 6.7720 Å
α = 90.00°, β = 108.89°, γ = 90.00°
Closest atoms and distances in Å follow each position.
Space group C2/m (No. 12)
One atom of each set of equivalent atoms:
Zn  0.2150  0.0000  0.1578  9 Au 2.72-2.88
Hg  0.0000  0.5000  0.5000  12 Au 2.95-3.15
Au  0.0436  0.0000  0.2237  1 Zn 2.81, 7 Au 2.89-2.98, 2 Hg 2.96
Au  0.0997  0.5000  0.9621  2 Zn 2.72, 7 Au 2.87-2.98, 1 Hg 3.01
Au  0.1587  0.0000  0.7298  3 Zn 2.72-2.74, 5 Au 2.87-3.00
Au  0.1791  0.5000  0.4256  3 Zn 2.76-2.88, 8 Au 2.89-3.00, 1 Hg 2.95

Results
The calculation puts the energy at -59.7 eV/cell.


The following is a PBE calculation of a relaxed Fe2CoNiN crystal, from Alexandria via LeMat-Bulk.

a = 3.6746 Å, b = 3.6746 Å, c = 3.7037 Å
α = 90.00°, β = 90.00°, γ = 90.00°
Closest atoms and distances in Å follow each position.
Space group P4/mmm (No. 123)
One atom of each set of equivalent atoms:
Fe  0.0000  0.5000  0.0000  2 N 1.84
Co  0.0000  0.0000  0.5000  2 N 1.85
Ni  0.5000  0.5000  0.5000  4 Co 2.60, 8 Fe 2.61
N  0.0000  0.0000  0.0000  4 Fe 1.84, 2 Co 1.85

Results
The energy above the most stable polymorph in this dataset is 0.712 eV/f.u. Its uncorrected formation energy is 0.1305 eV/atom.


The following is a PBE calculation of a relaxed Pm3B2Rh5 crystal, from Alexandria via LeMat-Bulk.

a = 9.2976 Å, b = 12.4808 Å, c = 5.9565 Å
α = 90.00°, β = 90.00°, γ = 90.00°
Closest atoms and distances in Å follow each position.
Space group Ibam (No. 72)
One atom of each set of equivalent atoms:
Pm  0.0000  0.0000  0.2500  4 B 2.73, 2 Pm 2.98
Pm  0.2302  0.3646  0.0000  1 B 2.75, 5 Rh 2.91-3.07
B  0.0923  0.1695  0.0000  3 Rh 1.99-2.07
Rh  0.0000  0.2617  0.2500  2 B 2.07
Rh  0.0000  0.5000  0.2500  8 Rh 2.80-2.98, 4 Pm 3.11
Rh  0.2086  0.3902  0.5000  1 B 1.99

Results
The calculation puts the energy at -275.8 eV/cell.


The following is a PBE calculation of a relaxed K2RhO crystal, from Alexandria via LeMat-Bulk.

a = 11.3189 Å, b = 11.3189 Å, c = 3.8406 Å
α = 90.00°, β = 90.00°, γ = 90.00°
Closest atoms and distances in Å follow each position.
Space group I-42d (No. 122)
One atom of each set of equivalent atoms:
K  0.0212  0.2500  0.1250  2 O 2.88, 2 Rh 3.18
Rh  0.0000  0.0000  0.5000  2 O 1.92
O  0.0000  0.0000  0.0000  2 Rh 1.92

Results
Its uncorrected formation energy is -0.5320 eV/atom.


The following is a PBE calculation of a relaxed La3UTl4Se8 crystal, from Alexandria via LeMat-Bulk.

a = 8.7574 Å, b = 8.7574 Å, c = 23.1887 Å
α = 90.00°, β = 90.00°, γ = 120.00°
Closest atoms and distances in Å follow each position.
Space group R-3m (No. 166, hexagonal axes)
One atom of each set of equivalent atoms:
La  0.0000  0.5000  0.0000  6 Se 3.01-3.03
U  0.0000  0.0000  0.0000  6 Se 2.94
Tl  0.0000  0.0000  0.5000  6 Se 3.43
Tl  0.0000  0.5000  0.5000  6 Se 3.36-3.37
Se  0.0000  0.0000  0.2625  3 La 3.01, 3 Tl 3.37
Se  0.0089  0.5045  0.7364  1 U 2.94, 2 La 3.03

Results
Its uncorrected formation energy is -1.3001 eV/atom.


The following is a PBE calculation of a relaxed LaPmAsPd crystal, from Alexandria via LeMat-Bulk.

a = 7.3396 Å, b = 7.3396 Å, c = 7.3396 Å
α = 90.00°, β = 90.00°, γ = 90.00°
Closest atoms and distances in Å follow each position.
Space group F-43m (No. 216)
One atom of each set of equivalent atoms:
La  0.0000  0.0000  0.0000  4 As 3.18, 4 Pd 3.18
Pm  0.0000  0.0000  0.5000  4 As 3.18, 4 Pd 3.18
As  0.2500  0.2500  0.2500  4 La 3.18, 4 Pm 3.18
Pd  0.2500  0.2500  0.7500  4 La 3.18, 4 Pm 3.18

Results
The calculation puts the energy at -92.7 eV/cell.


The following is a PBE calculation of a relaxed Pu2PdAu2 crystal, from Alexandria via LeMat-Bulk.

a = 10.7317 Å, b = 4.1715 Å, c = 11.0864 Å
α = 90.00°, β = 111.51°, γ = 90.00°
Closest atoms and distances in Å follow each position.
Space group C2/m (No. 12)
One atom of each set of equivalent atoms:
Pu  0.0000  0.0000  0.1644  3 Pd 3.08-3.13, 6 Au 3.12-3.18
Pu  0.1822  0.0000  0.6146  5 Au 2.95-3.19, 2 Pd 2.96
Pd  0.1996  0.5000  0.8094  4 Au 2.75-2.92, 4 Pu 2.96-3.08
Au  0.0461  0.5000  0.3933  1 Pd 2.77, 1 Au 2.88, 1 Pu 2.95
Au  0.1479  0.5000  0.0501  3 Pd 2.75-2.92, 1 Au 2.95

Results
The energy above the most stable polymorph in this dataset is 0.000 eV/f.u.


The following is a PBE calculation of a relaxed Y2ZrPb2 crystal, from Alexandria via LeMat-Bulk.

a = 7.9874 Å, b = 7.9874 Å, c = 4.3625 Å
α = 90.00°, β = 90.00°, γ = 90.00°
Closest atoms and distances in Å follow each position.
Space group P4/mbm (No. 127)
One atom of each set of equivalent atoms:
Y  0.1661  0.3339  0.0000  6 Pb 3.07-3.30
Zr  0.0000  0.0000  0.5000  4 Pb 3.08
Pb  0.1422  0.6422  0.5000  6 Y 3.07-3.30, 2 Zr 3.08, 1 Pb 3.21

Results
The energy above the most stable polymorph in this dataset is 0.000 eV/f.u.


The following is a PBE calculation of a relaxed SnAsSeN2 crystal, from Alexandria via LeMat-Bulk.

a = 3.9499 Å, b = 3.9499 Å, c = 5.2663 Å
α = 90.00°, β = 90.00°, γ = 90.00°
Closest atoms and distances in Å follow each position.
Space group P4/mmm (No. 123)
One atom of each set of equivalent atoms:
Sn  0.0000  0.0000  0.0000  4 Se 2.79
As  0.5000  0.5000  0.5000  4 N 1.97
Se  0.5000  0.5000  0.0000  2 As 2.63, 4 Sn 2.79
N  0.0000  0.5000  0.5000  2 As 1.97

Results
The energy above the most stable polymorph in this dataset is 0.000 eV/f.u. Its uncorrected formation energy is 1.0749 eV/atom.


The following is a PBE calculation of a relaxed RbReTeN2 crystal, from Alexandria via LeMat-Bulk.

a = 4.1352 Å, b = 4.1352 Å, c = 5.5912 Å
α = 90.00°, β = 90.00°, γ = 90.00°
Closest atoms and distances in Å follow each position.
Space group P4/mmm (No. 123)
One atom of each set of equivalent atoms:
Rb  0.0000  0.0000  0.0000  4 Te 2.92
Re  0.5000  0.5000  0.5000  4 N 2.07
Te  0.5000  0.5000  0.0000  2 Re 2.80, 4 Rb 2.92
N  0.0000  0.5000  0.5000  2 Re 2.07

Results
The energy above the most stable polymorph in this dataset is 0.000 eV/f.u. Its uncorrected formation energy is 0.7022 eV/atom.


What did the eleventh record say?
The following is a PBE calculation of a relaxed SnAsSeN2 crystal, from Alexandria via LeMat-Bulk.

a = 3.9499 Å, b = 3.9499 Å, c = 5.2663 Å
α = 90.00°, β = 90.00°, γ = 90.00°
Closest atoms and distances in Å follow each position.
Space group P4/mmm (No. 123)
One atom of each set of equivalent atoms:
Sn  0.0000  0.0000  0.0000  4 Se 2.79
As  0.5000  0.5000  0.5000  4 N 1.97
Se  0.5000  0.5000  0.0000  2 As 2.63, 4 Sn 2.79
N  0.0000  0.5000  0.5000  2 As 1.97

Results
The energy above the most stable polymorph in this dataset is 0.000 eV/f.u. Its uncorrected formation energy is 1.0749 eV/atom.